No. 1
The following is a DFT calculation (PBE) of crystalline PuThGeAu at its relaxed geometry.

Computed properties:
Size of the total moment   6.9 μB/f.u.
Space-group type   F-43m, No. 216
Crystal system   cubic

abc: 5.189 5.189 5.189
angles: 60.00 60.00 60.00
Fractional positions:
Au 0.750 0.750 0.750
Ge 0.250 0.250 0.250
Pu 0.000 0.000 0.000
Th 0.500 0.500 0.500

=====

No. 2
The following is a DFT calculation (PBE) of crystalline Pu4TlGe2Au at its relaxed geometry.

Computed properties:
Size of the total moment   23.8 μB/f.u.
Space-group type   R-3m, No. 166
Crystal system   trigonal

abc: 5.164 5.164 9.007
angles: 73.34 73.34 60.00
Fractional positions:
Pu 0.871 0.871 0.388
Pu 0.381 0.381 0.858
Pu 0.619 0.619 0.142
Pu 0.129 0.129 0.612
Ge 0.253 0.253 0.240
Ge 0.747 0.747 0.760
Tl 0.000 0.000 0.000
Au 0.500 0.500 0.500

=====

No. 3
The following is a DFT calculation (PBE) of crystalline TmPuGeAu at its relaxed geometry.

Computed properties:
Size of the total moment   6.0 μB/f.u.
Space-group type   F-43m, No. 216
Crystal system   cubic

abc: 5.076 5.076 5.076
angles: 60.00 60.00 60.00
Fractional positions:
Au 0.750 0.750 0.750
Tm 0.000 0.000 0.000
Ge 0.250 0.250 0.250
Pu 0.500 0.500 0.500

=====

No. 4
The following is a DFT calculation (PBE) of crystalline Pu2VGe4Au2 at its relaxed geometry.

Computed properties:
Size of the total moment   10.3 μB/f.u.
Space-group type   I4/mmm, No. 139
Crystal system   tetragonal

abc: 6.356 6.356 6.356
angles: 88.25 121.02 121.02
Fractional positions:
Pu 0.500 0.250 0.750
Pu 0.500 0.750 0.250
Au 0.000 0.283 0.283
Au 0.000 0.717 0.717
Ge 0.000 0.719 0.281
Ge 0.000 0.281 0.719
Ge 0.563 0.281 0.281
Ge 0.437 0.719 0.719
V 0.000 0.000 0.000

=====

No. 5
The following is a DFT calculation (PBE) of crystalline YPuGeAu at its relaxed geometry.

Computed properties:
Size of the total moment   6.1 μB/f.u.
Space-group type   F-43m, No. 216
Crystal system   cubic

abc: 5.115 5.115 5.115
angles: 60.00 60.00 60.00
Fractional positions:
Au 0.750 0.750 0.750
Y 0.500 0.500 0.500
Ge 0.250 0.250 0.250
Pu 0.000 0.000 0.000

=====

No. 6
The following is a DFT calculation (PBE) of crystalline Pu2Zn3GeAu4 at its relaxed geometry.

Computed properties:
Size of the total moment   11.7 μB/f.u.
Space-group type   P-4m2, No. 115
Crystal system   tetragonal

abc: 4.405 4.405 10.642
angles: 90.00 90.00 90.00
Fractional positions:
Au 0.500 0.000 0.634
Au 0.000 0.500 0.366
Au 0.500 0.500 0.000
Au 0.000 0.000 0.000
Ge 0.500 0.500 0.500
Zn 0.000 0.500 0.131
Zn 0.000 0.000 0.500
Zn 0.500 0.000 0.869
Pu 0.500 0.000 0.252
Pu 0.000 0.500 0.748

=====

No. 7
The following is a DFT calculation (PBE) of crystalline Pu2Zn3Ge4Au at its relaxed geometry.

Computed properties:
Size of the total moment   11.1 μB/f.u.
Space-group type   P-4m2, No. 115
Crystal system   tetragonal

abc: 4.290 4.290 10.565
angles: 90.00 90.00 90.00
Fractional positions:
Ge 0.000 0.500 0.358
Ge 0.500 0.000 0.642
Ge 0.000 0.000 0.000
Ge 0.500 0.500 0.000
Pu 0.000 0.500 0.755
Pu 0.500 0.000 0.245
Zn 0.000 0.500 0.131
Zn 0.500 0.000 0.869
Zn 0.000 0.000 0.500
Au 0.500 0.500 0.500

=====

No. 8
The following is a DFT calculation (PBE) of crystalline RbGe2Au at its relaxed geometry.

Computed properties:
Size of the total moment   0.0 μB/f.u.
Space-group type   Fm-3m, No. 225
Crystal system   cubic

abc: 5.082 5.082 5.082
angles: 60.00 60.00 60.00
Fractional positions:
Rb 0.000 0.000 0.000
Ge 0.750 0.750 0.750
Ge 0.250 0.250 0.250
Au 0.500 0.500 0.500

=====

No. 9
The following is a DFT calculation (PBE) of crystalline Rb2Ge3Au5 at its relaxed geometry.

Computed properties:
Size of the total moment   0.0 μB/f.u.
Space-group type   Ibam, No. 72
Crystal system   orthorhombic

abc: 6.847 9.254 9.254
angles: 67.89 68.29 68.29
Fractional positions:
Au 0.389 0.237 0.985
Au 0.889 0.985 0.237
Au 0.508 0.742 0.742
Au 0.750 0.500 0.500
Au 0.992 0.258 0.258
Au 0.250 0.500 0.500
Au 0.611 0.763 0.015
Au 0.008 0.742 0.742
Au 0.492 0.258 0.258
Au 0.111 0.015 0.763
Ge 0.624 0.489 0.262
Ge 0.376 0.511 0.738
Ge 0.124 0.262 0.489
Ge 0.876 0.738 0.511
Ge 0.250 0.000 0.000
Ge 0.750 0.000 0.000
Rb 0.631 0.118 0.621
Rb 0.369 0.882 0.379
Rb 0.869 0.379 0.882
Rb 0.131 0.621 0.118

=====

No. 10
The following is a DFT calculation (PBE) of crystalline RbGe3Au2 at its relaxed geometry.

Computed properties:
Energy above the most stable polymorph in this dataset   0.0 meV per atom
Size of the total moment   0.0 μB/f.u.
Space-group type   C2/m, No. 12
Crystal system   monoclinic

abc: 4.866 8.524 8.823
angles: 108.35 90.00 106.58
Fractional positions:
Au 0.552 0.105 0.357
Au 0.177 0.355 0.731
Au 0.823 0.645 0.269
Au 0.448 0.895 0.643
Ge 0.281 0.563 0.559
Ge 0.719 0.437 0.441
Ge 0.622 0.244 0.695
Ge 0.378 0.756 0.305
Ge 0.999 0.999 0.356
Ge 0.001 0.001 0.644
Rb 0.140 0.281 0.099
Rb 0.860 0.719 0.901

=====

No. 11
The following is a DFT calculation (PBE) of crystalline RbGe3Au at its relaxed geometry.

Computed properties:
Energy above the most stable polymorph in this dataset   1988.8 meV per atom
Size of the total moment   0.0 μB/f.u.
Space-group type   Pm-3m, No. 221
Crystal system   cubic

abc: 5.594 5.594 5.594
angles: 90.00 90.00 90.00
Fractional positions:
Au 0.500 0.500 0.500
Ge 0.500 0.000 0.000
Ge 0.000 0.500 0.000
Ge 0.000 0.000 0.500
Rb 0.000 0.000 0.000

=====

No. 12
The following is a DFT calculation (PBE) of crystalline RbGeAu4 at its relaxed geometry.

Computed properties:
Energy above the most stable polymorph in this dataset   22.1 meV per atom
Size of the total moment   0.0 μB/f.u.
Space-group type   P2_1/m, No. 11
Crystal system   monoclinic

abc: 4.651 7.761 9.017
angles: 90.00 104.90 90.00
Fractional positions:
Au 0.329 0.250 0.663
Au 0.000 0.500 0.000
Au 0.217 0.553 0.433
Au 0.783 0.053 0.567
Au 0.000 0.000 0.000
Au 0.671 0.750 0.337
Au 0.783 0.447 0.567
Au 0.217 0.947 0.433
Ge 0.098 0.750 0.185
Ge 0.902 0.250 0.815
Rb 0.602 0.250 0.203
Rb 0.398 0.750 0.797

=====

No. 13
The following is a DFT calculation (PBE) of crystalline Rb2GeAu at its relaxed geometry.

Computed properties:
Size of the total moment   0.0 μB/f.u.
Space-group type   Cmcm, No. 63
Crystal system   orthorhombic

abc: 7.330 6.583 6.583
angles: 110.09 90.00 90.00
Fractional positions:
Rb 0.250 0.667 0.006
Rb 0.250 0.006 0.667
Rb 0.750 0.333 0.994
Rb 0.750 0.994 0.333
Au 0.500 0.500 0.500
Au 0.000 0.500 0.500
Ge 0.750 0.726 0.726
Ge 0.250 0.274 0.274

=====

No. 14
The following is a DFT calculation (PBE) of crystalline Rb2GeAu3 at its relaxed geometry.

Computed properties:
Energy above the most stable polymorph in this dataset   98.5 meV per atom
Size of the total moment   0.0 μB/f.u.
Space-group type   Cmcm, No. 63
Crystal system   orthorhombic

abc: 5.560 8.608 8.608
angles: 70.90 90.00 90.00
Fractional positions:
Au 0.000 0.124 0.124
Au 0.250 0.401 0.599
Au 0.750 0.599 0.401
Au 0.500 0.876 0.876
Au 0.500 0.124 0.124
Au 0.000 0.876 0.876
Ge 0.750 0.860 0.140
Ge 0.250 0.140 0.860
Rb 0.250 0.517 0.173
Rb 0.750 0.173 0.517
Rb 0.750 0.483 0.827
Rb 0.250 0.827 0.483

=====

No. 15
The following is a DFT calculation (PBE) of crystalline RbGeAu4 at its relaxed geometry.

Computed properties:
Energy above the most stable polymorph in this dataset   0.0 meV per atom
Size of the total moment   0.0 μB/f.u.
Space-group type   C2/m, No. 12
Crystal system   monoclinic

abc: 7.061 6.459 7.220
angles: 116.57 84.45 90.00
Fractional positions:
Au 0.379 0.726 0.452
Au 0.380 0.127 0.824
Au 0.620 0.303 0.176
Au 0.000 0.234 0.000
Au 0.620 0.873 0.176
Au 0.380 0.697 0.824
Au 0.000 0.766 0.000
Au 0.621 0.274 0.548
Rb 0.150 0.221 0.441
Rb 0.850 0.779 0.559
Ge 0.724 0.455 0.911
Ge 0.276 0.545 0.089

=====

No. 16
The following is a DFT calculation (PBE) of crystalline Rb2Ge3Au2 at its relaxed geometry.

Computed properties:
Size of the total moment   0.0 μB/f.u.
Space-group type   C2/m, No. 12
Crystal system   monoclinic

abc: 4.488 7.114 7.020
angles: 96.99 90.00 108.39
Fractional positions:
Ge 0.436 0.872 0.625
Ge 0.564 0.128 0.375
Ge 0.500 0.000 0.000
Au 0.076 0.152 0.200
Au 0.924 0.848 0.800
Rb 0.817 0.634 0.261
Rb 0.183 0.366 0.739

=====

No. 17
The following is a DFT calculation (PBE) of crystalline Rb2Ge5Au3 at its relaxed geometry.

Computed properties:
Size of the total moment   0.0 μB/f.u.
Space-group type   Ibam, No. 72
Crystal system   orthorhombic

abc: 6.571 9.184 9.184
angles: 72.98 69.04 69.04
Fractional positions:
Ge 0.873 0.000 0.254
Ge 0.005 0.245 0.245
Ge 0.995 0.755 0.755
Ge 0.750 0.500 0.500
Ge 0.250 0.500 0.500
Ge 0.505 0.245 0.245
Ge 0.495 0.755 0.755
Ge 0.627 0.746 0.000
Ge 0.127 0.000 0.746
Ge 0.373 0.254 0.000
Au 0.128 0.249 0.495
Au 0.872 0.751 0.505
Au 0.628 0.495 0.249
Au 0.372 0.505 0.751
Au 0.250 0.000 0.000
Au 0.750 0.000 0.000
Rb 0.876 0.377 0.871
Rb 0.124 0.623 0.129
Rb 0.376 0.871 0.377
Rb 0.624 0.129 0.623

=====

No. 18
The following is a DFT calculation (PBE) of crystalline RbGe2Au4 at its relaxed geometry.

Computed properties:
Energy above the most stable polymorph in this dataset   58.9 meV per atom
Size of the total moment   0.0 μB/f.u.
Space-group type   P4_2/mnm, No. 136
Crystal system   tetragonal

abc: 4.004 8.680 8.680
angles: 90.00 90.00 90.00
Fractional positions:
Au 0.000 0.926 0.669
Au 0.500 0.426 0.831
Au 0.000 0.074 0.331
Au 0.000 0.669 0.926
Au 0.500 0.574 0.169
Au 0.000 0.331 0.074
Au 0.500 0.831 0.426
Au 0.500 0.169 0.574
Ge 0.500 0.725 0.725
Ge 0.000 0.225 0.775
Ge 0.000 0.775 0.225
Ge 0.500 0.275 0.275
Rb 0.000 0.500 0.500
Rb 0.500 0.000 0.000

=====

No. 19
The following is a DFT calculation (PBE) of crystalline RbGe3Au2 at its relaxed geometry.

Computed properties:
Energy above the most stable polymorph in this dataset   14.9 meV per atom
Size of the total moment   0.0 μB/f.u.
Space-group type   P2_1/m, No. 11
Crystal system   monoclinic

abc: 6.553 7.010 6.557
angles: 90.00 81.19 90.00
Fractional positions:
Au 0.822 0.501 0.179
Au 0.178 0.001 0.821
Au 0.822 0.999 0.179
Au 0.178 0.499 0.821
Ge 0.470 0.250 0.761
Ge 0.238 0.750 0.531
Ge 0.139 0.750 0.137
Ge 0.530 0.750 0.239
Ge 0.762 0.250 0.469
Ge 0.861 0.250 0.863
Rb 0.292 0.250 0.292
Rb 0.708 0.750 0.708

=====

No. 20
The following is a DFT calculation (PBE) of crystalline RbGe2Au at its relaxed geometry.

Computed properties:
Size of the total moment   0.0 μB/f.u.
Space-group type   P4/mmm, No. 123
Crystal system   tetragonal

abc: 3.688 3.688 7.631
angles: 90.00 90.00 90.00
Fractional positions:
Ge 0.000 0.000 0.838
Ge 0.000 0.000 0.162
Rb 0.500 0.500 0.500
Au 0.500 0.500 0.000

=====

No. 21
The following is a DFT calculation (PBE) of crystalline Rb4GeAu5 at its relaxed geometry.

Computed properties:
Size of the total moment   0.0 μB/f.u.
Space-group type   I4, No. 79
Crystal system   tetragonal

abc: 6.994 8.117 8.117
angles: 79.30 64.48 64.48
Fractional positions:
Au 0.955 0.308 0.841
Au 0.796 0.159 0.308
Au 0.313 0.000 0.000
Au 0.104 0.692 0.159
Au 0.263 0.841 0.692
Rb 0.826 0.789 0.629
Rb 0.244 0.211 0.371
Rb 0.455 0.371 0.789
Rb 0.615 0.629 0.211
Ge 0.940 0.000 0.000

=====

No. 22
The following is a DFT calculation (PBE) of crystalline RbGe3Au at its relaxed geometry.

Computed properties:
Energy above the most stable polymorph in this dataset   563.2 meV per atom
Size of the total moment   0.0 μB/f.u.
Space-group type   Pm-3m, No. 221
Crystal system   cubic

abc: 5.265 5.265 5.265
angles: 90.00 90.00 90.00
Fractional positions:
Ge 0.500 0.000 0.000
Ge 0.000 0.500 0.000
Ge 0.000 0.000 0.500
Au 0.000 0.000 0.000
Rb 0.500 0.500 0.500

=====

No. 23
The following is a DFT calculation (PBE) of crystalline Rb2Ge3Au at its relaxed geometry.

Computed properties:
Size of the total moment   0.0 μB/f.u.
Space-group type   Fmmm, No. 69
Crystal system   orthorhombic

abc: 7.131 7.131 9.451
angles: 118.09 118.09 75.62
Fractional positions:
Au 0.667 0.667 0.334
Au 0.333 0.333 0.666
Rb 0.750 0.250 0.500
Rb 0.250 0.750 0.500
Rb 0.742 0.742 0.000
Rb 0.258 0.258 0.000
Ge 0.164 0.164 0.328
Ge 0.672 0.164 0.836
Ge 0.328 0.836 0.164
Ge 0.836 0.836 0.672
Ge 0.164 0.672 0.836
Ge 0.836 0.328 0.164

=====

| no. | E_form (eV per formula unit) |
| --- | --- |
| 1 | -1.9 |
| 2 | -2.1 |
| 3 | -2.3 |
| 4 | -2.6 |
| 5 | -2.3 |
| 6 | -3.0 |
| 7 | -2.5 |
| 8 | 1.6 |
| 9 | -1.6 |
| 10 | -0.3 |
| 11 | 9.4 |
| 12 | -0.7 |
| 13 | -0.7 |
| 14 | -1.1 |
| 15 | -0.9 |
| 16 | -1.0 |
| 17 | -1.3 |
| 18 | -0.4 |
| 19 | -0.2 |
| 20 | 0.1 |
| 21 | -1.2 |
| 22 | 2.3 |
| 23 | -1.1 |